Entry from Alexandria via LeMat-Bulk: Cs3Pm2PrTe6 after structural relaxation (PBE).

Summary:
E_form (uncorrected) (eV per formula unit): -16.971

abc: 8.089 14.009 9.346
angles: 90.00 106.78 90.00
Space group C2/m (No. 12)
One atom of each set of equivalent atoms:
Cs 0.000 0.000 0.000
Cs 0.000 0.334 0.000
Pm 0.000 0.167 0.500
Pr 0.000 0.500 0.500
Te 0.228 0.000 0.695
Te 0.233 0.332 0.695



Entry from Alexandria via LeMat-Bulk: CsPm2Pr3Te6 after structural relaxation (PBE).

Summary:
E_form (uncorrected) (eV per formula unit): -16.109

abc: 20.125 4.529 9.472
angles: 90.00 103.47 90.00
Space group C2/m (No. 12)
One atom of each set of equivalent atoms:
Cs 0.000 0.000 0.000
Pm 0.170 0.500 0.345
Pr 0.000 0.000 0.500
Pr 0.159 0.500 0.817
Te 0.007 0.500 0.276
Te 0.166 0.000 0.580
Te 0.178 0.000 0.092



Entry from Alexandria via LeMat-Bulk: Cs3PmPr2Te6 after structural relaxation (PBE).

Summary:
E_form (uncorrected) (eV per formula unit): -16.998

abc: 8.123 14.069 9.352
angles: 90.00 106.82 90.00
Space group C2/m (No. 12)
One atom of each set of equivalent atoms:
Cs 0.000 0.000 0.000
Cs 0.000 0.332 0.000
Pm 0.000 0.500 0.500
Pr 0.000 0.167 0.500
Te 0.230 0.335 0.695
Te 0.235 0.000 0.696



Entry from Alexandria via LeMat-Bulk: CsPmPt2 after structural relaxation (PBE).

Summary:
Total DFT energy (no corrections) (eV/atom): -4.9853

abc: 3.668 3.668 8.391
angles: 90.00 90.00 90.00
Space group P4/mmm (No. 123)
One atom of each set of equivalent atoms:
Cs 0.000 0.000 0.000
Pm 0.000 0.000 0.500
Pt 0.500 0.500 0.317



Entry from Alexandria via LeMat-Bulk: Cs2PmPuS4 after structural relaxation (PBE).

Summary:
E_form (uncorrected) (eV per formula unit): -13.337

abc: 7.287 4.200 8.413
angles: 90.00 106.77 90.00
Space group P2/m (No. 10)
One atom of each set of equivalent atoms:
Cs 0.000 0.000 0.000
Cs 0.500 0.500 0.000
Pm 0.000 0.500 0.500
Pu 0.500 0.000 0.500
S 0.230 0.000 0.685
S 0.278 0.500 0.320



Entry from Alexandria via LeMat-Bulk: Cs3Pm2PuS6 after structural relaxation (PBE).

Summary:
E_form (uncorrected) (eV per formula unit): -20.518

abc: 7.301 12.645 8.422
angles: 90.00 106.81 90.00
Space group C2/m (No. 12)
One atom of each set of equivalent atoms:
Cs 0.000 0.000 0.000
Cs 0.000 0.332 0.000
Pm 0.000 0.167 0.500
Pu 0.000 0.500 0.500
S 0.226 0.335 0.684
S 0.231 0.000 0.684



Entry from Alexandria via LeMat-Bulk: Cs2Pm2PuSe6 after structural relaxation (PBE).

Summary:
E_form (uncorrected) (eV per formula unit): -17.638

abc: 7.412 12.792 8.947
angles: 90.00 106.48 90.00
Space group C2/m (No. 12)
One atom of each set of equivalent atoms:
Cs 0.000 0.170 0.000
Pm 0.000 0.333 0.500
Pu 0.000 0.000 0.500
Se 0.224 0.161 0.684
Se 0.242 0.500 0.683



Entry from Alexandria via LeMat-Bulk: Cs3Pm3PuTe8 after structural relaxation (PBE).

Summary:
E_form (uncorrected) (eV per formula unit): -19.254

abc: 9.1440 9.1440 27.3566
angles: 90.00 90.00 120.00
Space group R-3m (No. 166, hexagonal axes)
One atom of each set of equivalent atoms:
Cs 0.0000 0.5000 0.0000
Pm 0.0000 0.5000 0.5000
Pu 0.0000 0.0000 0.5000
Te 0.0000 0.0000 0.2314
Te 0.0070 0.5035 0.2295